# NaSr2Sm

A relaxed structure of NaSr2Sm (PBE, the Alexandria database).

```
NaSr2Sm
1.0
1.917 1.107 13.948
-1.917 1.107 13.948
0.000 -2.213 13.948
Na Sr Sm
1 2 1
Cartesian
0.000 0.000 0.000 Na
0.000 0.000 17.302 Sr
0.000 0.000 24.542 Sr
0.000 0.000 20.922 Sm
```

Results
ρ: 3.262 g/cm3
relative energy among the computed polymorphs: 0.1862 eV per atom
formation energy: 0.306 eV/atom